Here is a geometry-optimized Li14HgPd structure from Alexandria via LeMat-Bulk. Energies are from PBE.

Cell: 6.312 6.312 7.188 Å, 90.00 90.00 90.00°
Fractional positions:
Li  0.375  0.875  0.000
Li  0.875  0.375  0.000
Li  0.375  0.375  0.000
Li  0.136  0.614  0.727
Li  0.136  0.136  0.727
Li  0.375  0.875  0.500
Li  0.614  0.136  0.727
Li  0.614  0.614  0.727
Li  0.614  0.614  0.273
Li  0.875  0.375  0.500
Li  0.136  0.136  0.273
Li  0.875  0.875  0.000
Li  0.614  0.136  0.273
Li  0.136  0.614  0.273
Pd  0.375  0.375  0.500
Hg  0.875  0.875  0.500

Calculated volume ... 17.90 A^3/atom
Spin magnetization ... 0.00 μB per formula unit
Energy of formation from the pure elements ... -134.9 meV/atom

***

Here is a geometry-optimized CsK2RbI structure from Alexandria via LeMat-Bulk. Energies are from PBE.

Cell: 7.134 7.659 7.134 Å, 90.00 90.00 90.00°
Fractional positions:
Cs  0.000  0.500  0.000
I  0.000  0.000  0.000
K  0.500  0.000  0.000
K  0.000  0.000  0.500
Rb  0.500  0.500  0.500

Calculated volume ... 77.95 A^3/atom
Spin magnetization ... 0.00 μB per formula unit
Polymorph energy (0 for the lowest one) ... 0 meV per atom
ΔE_f (raw) ... -0.521 eV per atom

***

Here is a geometry-optimized Zr2TaSi structure from Alexandria via LeMat-Bulk. Energies are from PBE.

Cell: 2.953 2.953 8.882 Å, 90.00 90.00 90.00°
Fractional positions:
Zr  0.000  0.000  0.984
Zr  0.500  0.500  0.294
Ta  0.500  0.500  0.711
Si  0.000  0.000  0.510

Calculated volume ... 19.37 A^3/atom
Spin magnetization ... 0.00 μB per formula unit
ΔE_f (raw) ... -0.083 eV per atom

***

Here is a geometry-optimized LiZnCl2 structure from Alexandria via LeMat-Bulk. Energies are from PBE.

Cell: 5.605 5.605 4.318 Å, 60.96 60.96 80.32°
Fractional positions:
Zn  0.000  0.500  0.500
Cl  0.500  0.500  0.000
Cl  0.000  0.000  0.000
Li  0.500  0.000  0.500

Calculated volume ... 25.82 A^3/atom
Spin magnetization ... 0.00 μB per formula unit
Polymorph energy (0 for the lowest one) ... 59 meV per atom
ΔE_f (raw) ... -0.943 eV per atom

***

Here is a geometry-optimized Ac2Pm4Nd7 structure from Alexandria via LeMat-Bulk. Energies are from PBE.

Cell: 6.385 6.385 13.514 Å, 90.00 90.00 120.00°
Fractional positions:
Nd  0.631  0.631  0.225
Nd  0.369  0.000  0.225
Nd  0.000  0.631  0.775
Nd  0.369  0.369  0.775
Nd  0.631  0.000  0.775
Nd  0.000  0.369  0.225
Nd  0.000  0.000  0.000
Pm  0.000  0.000  0.393
Pm  0.667  0.333  0.500
Pm  0.000  0.000  0.607
Pm  0.333  0.667  0.500
Ac  0.333  0.667  0.000
Ac  0.667  0.333  0.000

Calculated volume ... 36.71 A^3/atom
Spin magnetization ... 0.00 μB per formula unit
Energy of formation from the pure elements ... 163.1 meV/atom

***

Here is a geometry-optimized PmIrCl structure from Alexandria via LeMat-Bulk. Energies are from PBE.

Cell: 4.303 4.302 10.645 Å, 78.35 78.34 60.00°
Fractional positions:
Pm  0.939  0.939  0.184
Pm  0.061  0.061  0.816
Ir  0.665  0.665  0.005
Ir  0.335  0.335  0.995
Cl  0.220  0.220  0.341
Cl  0.780  0.780  0.659

Calculated volume ... 27.66 A^3/atom
Spin magnetization ... 0.00 μB per formula unit
ΔE_f (raw) ... -1.394 eV per atom

***

Look up the spin magnetization of the second one.
0.00 μB per formula unit

***

Which formula does entry 2 have?
CsK2RbI